No. 1
The following is a DFT calculation (PBE) of a relaxed structure of Sr3ScHg.

Results
* VASP energy: -2.103 eV/atom
* distance to the lowest polymorph of the same formula: 0.000 eV per atom
* magnetic moment: 1.64 μB/cell

a b c (Å): 6.1840 6.1840 6.1840
angles (deg): 90.00 90.00 90.00
Sites, in units of the cell vectors:
Sr  0.0000  0.0000  0.5000
Sr  0.0000  0.5000  0.0000
Sr  0.5000  0.0000  0.0000
Sc  0.5000  0.5000  0.5000
Hg  0.0000  0.0000  0.0000

=====

No. 2
The following is a DFT calculation (PBE) of a relaxed structure of Si3Sb.

Results
* VASP energy: -4.571 eV/atom
* distance to the lowest polymorph of the same formula: 0.189 eV per atom
* formation energy without anion corrections: 0.53 eV/atom
* magnetic moment: 0.00 μB/cell

a b c (Å): 3.1210 3.1210 7.7796
angles (deg): 90.00 90.00 101.73
Sites, in units of the cell vectors:
Si  0.0000  0.0000  0.0000
Si  0.5000  0.5000  0.1965
Si  0.5000  0.5000  0.8035
Sb  0.0000  0.0000  0.5000

=====

No. 3
The following is a DFT calculation (PBE) of a relaxed structure of MnZn4Pt2.

Results
* VASP energy: -3.964 eV/atom
* distance to the lowest polymorph of the same formula: 0.000 eV per atom
* magnetic moment: 3.91 μB/cell

a b c (Å): 6.4553 5.3034 5.2395
angles (deg): 75.51 52.70 51.80
Sites, in units of the cell vectors:
Mn  0.0000  0.0000  0.0000
Zn  0.2500  0.2500  0.2500
Zn  0.3122  0.6878  0.3122
Zn  0.6878  0.3122  0.6878
Zn  0.7500  0.7500  0.7500
Pt  0.2927  0.2927  0.7073
Pt  0.7073  0.7073  0.2927

=====

- Which value of VASP energy does entry 3 give?
  -3.964 eV/atom

=====

- Which formula does entry 1 have?
  Sr3ScHg

=====

- The highest magnetic moment belongs to which entry?
  MnZn4Pt2

=====

- What is the formula in the second record?
  Si3Sb